(1)
A relaxed BeTcHg2As crystal. Source: Alexandria, functional PBE.

Summary:
The energy of formation is 124.6 kJ per mole of atoms. For the electronic total energy, the calculation gives -2.578 eV/atom. As for the total magnetization: 2.3 μB/f.u.

The structure in POSCAR format:
```
BeTcHg2As
1.0
5.261 0.000 0.000
0.000 4.761 0.000
0.000 0.000 5.261
As Be Hg Tc
1 1 2 1
Cartesian
0.000 0.000 0.000
2.631 2.380 2.631
0.000 0.000 2.631
2.631 0.000 0.000
0.000 2.380 0.000
```



(2)
A relaxed Er2MnZn crystal. Source: Alexandria, functional PBE.

Summary:
The energy of formation is 43.7 kJ per mole of atoms. The distance to the lowest polymorph of the same formula is 0.546 eV per atom. For the electronic total energy, the calculation gives -4.439 eV/atom. As for the total magnetization: 3.6 μB/f.u.

The structure in POSCAR format:
```
Er2MnZn
1.0
-2.675 1.207 -1.444
-2.966 -0.978 0.972
-2.151 7.857 6.849
Er Zn Mn
2 1 1
Cartesian
-2.076 5.706 4.912
-5.716 2.380 1.464
-3.896 4.043 3.188
0.000 0.000 0.000
```



(3)
A relaxed ThHIBr crystal. Source: Alexandria, functional PBE.

Summary:
For the electronic total energy, the calculation gives -4.444 eV/atom. As for the total magnetization: 1.0 μB/f.u.

The structure in POSCAR format:
```
ThHIBr
1.0
4.086 0.000 0.000
2.043 3.540 0.006
2.043 1.168 8.493
Th I Br H
1 1 1 1
Cartesian
2.043 1.845 3.522
4.086 3.028 1.263
6.129 1.852 6.236
4.086 0.663 3.654
```